{"formula": "Mg2InSn", "functional": "PBE-GGA", "state": "relaxed", "lattice": [[4.225, 0.000, 0.000], [0.000, 4.742, 0.000], [0.000, 0.000, 4.742]], "species": ["Sn", "Mg", "In", "Mg"], "fractional_positions": [[0.500, 0.000, 0.000], [0.000, 0.500, 0.000], [0.500, 0.500, 0.500], [0.000, 0.000, 0.500]], "spacegroup": "P4/mmm, No. 123", "formation_energy_ev_per_atom": -0.1099}

=====

{"formula": "Cr2SnRuN", "functional": "PBE-GGA", "state": "relaxed", "lattice": [[3.925, 0.000, 0.000], [0.000, 3.925, 0.000], [0.000, 0.000, 4.183]], "species": ["Ru", "Cr", "N", "Sn", "Cr"], "fractional_positions": [[0.000, 0.000, 0.500], [0.000, 0.500, 0.000], [0.000, 0.000, 0.000], [0.500, 0.500, 0.500], [0.500, 0.000, 0.000]], "e_tot_ev_per_atom": -8.264, "spacegroup": "P4/mmm, No. 123"}

=====

{"formula": "CaLa3Pr7", "functional": "PBE-GGA", "state": "relaxed", "lattice": [[-1.908, -5.841, -0.502], [5.144, 0.958, 7.013], [-5.588, 4.646, 4.873]], "species": ["Pr", "Pr", "Pr", "Pr", "Ca", "La", "Pr", "Pr", "Pr", "La", "La"], "fractional_positions": [[0.203, 0.203, 0.203], [0.701, 0.001, 0.402], [0.701, 0.402, 0.001], [0.299, 0.598, 0.999], [0.500, 0.500, 0.500], [0.000, 0.784, 0.216], [0.299, 0.999, 0.598], [0.000, 0.500, 0.500], [0.797, 0.797, 0.797], [0.500, 0.000, 0.000], [0.000, 0.216, 0.784]], "spacegroup": "C2/m, No. 12", "formation_energy_ev_per_atom": 0.2160}

=====

{"formula": "TlCrTe2", "functional": "PBE-GGA", "state": "relaxed", "lattice": [[-3.859, 3.149, 1.665], [-2.151, -2.307, -4.199], [-1.424, -3.003, 2.379]], "species": ["Te", "Tl", "Te", "Cr"], "fractional_positions": [[0.500, 0.500, 0.000], [0.500, 0.000, 0.500], [0.000, 0.000, 0.000], [0.000, 0.500, 0.500]], "e_tot_ev_per_atom": -4.315, "spacegroup": "Cmmm, No. 65"}

=====

{"formula": "Th2Np2N7", "functional": "PBE-GGA", "state": "relaxed", "lattice": [[6.661, 0.000, 3.846], [2.220, 6.280, 3.846], [0.000, 0.000, 7.691]], "species": ["Np", "Th", "Th", "N", "Np", "N", "N", "Th", "N", "N", "N", "N", "N", "N", "N", "N", "N", "N", "Np", "N", "Np", "Th"], "fractional_positions": [[0.625, 0.125, 0.125], [0.625, 0.625, 0.125], [0.625, 0.125, 0.625], [0.460, 0.040, 0.040], [0.125, 0.625, 0.125], [0.790, 0.210, 0.790], [0.210, 0.790, 0.210], [0.625, 0.625, 0.625], [0.500, 0.500, 0.500], [0.040, 0.040, 0.460], [0.040, 0.460, 0.460], [0.460, 0.460, 0.040], [0.210, 0.790, 0.790], [0.750, 0.750, 0.750], [0.460, 0.040, 0.460], [0.790, 0.790, 0.210], [0.210, 0.210, 0.790], [0.040, 0.460, 0.040], [0.125, 0.125, 0.625], [0.790, 0.210, 0.210], [0.125, 0.125, 0.125], [0.125, 0.625, 0.625]], "e_tot_ev_per_atom": -10.337, "spacegroup": "Fd-3m, No. 227"}

=====

{"formula": "Be3Cu2", "functional": "PBE-GGA", "state": "relaxed", "lattice": [[2.703, 0.000, 0.000], [0.000, 2.704, 0.000], [0.000, 0.000, 12.884]], "species": ["Cu", "Be", "Cu", "Cu", "Be", "Be", "Be", "Be", "Be", "Cu"], "fractional_positions": [[0.500, 0.500, 0.398], [0.500, 0.500, 0.000], [0.500, 0.500, 0.192], [0.500, 0.500, 0.602], [0.000, 0.000, 0.296], [0.000, 0.000, 0.500], [0.000, 0.000, 0.091], [0.000, 0.000, 0.704], [0.000, 0.000, 0.909], [0.500, 0.500, 0.808]], "spacegroup": "P4/mmm, No. 123", "formation_energy_ev_per_atom": -0.0793}

=====

{"formula": "TbSm2As3", "functional": "PBE-GGA", "state": "relaxed", "lattice": [[-2.648, 2.722, 1.779], [-4.197, -1.546, -3.883], [1.446, -5.077, 4.977]], "species": ["As", "As", "As", "Sm", "Sm", "Tb"], "fractional_positions": [[0.336, 0.336, 0.672], [0.664, 0.664, 0.328], [0.000, 0.000, 0.000], [0.333, 0.833, 0.666], [0.667, 0.167, 0.334], [0.000, 0.500, 0.000]], "spacegroup": "Immm, No. 71", "formation_energy_ev_per_atom": -1.5309}

=====

{"formula": "Pm2Sm2In3", "functional": "PBE-GGA", "state": "relaxed", "lattice": [[-0.547, 4.417, -1.154], [-1.899, -0.982, -2.858], [-10.638, 2.682, 6.148]], "species": ["Sm", "Pm", "In", "In", "Sm", "In", "Pm"], "fractional_positions": [[0.702, 0.500, 0.597], [0.431, 0.500, 0.139], [0.000, 0.000, 0.000], [0.142, 0.000, 0.717], [0.298, 0.500, 0.403], [0.858, 0.000, 0.283], [0.569, 0.500, 0.861]], "spacegroup": "Cmmm, No. 65", "formation_energy_ev_per_atom": -0.3318}